Here is a relaxed structure of Pr3PtSeBr from Alexandria. Energies are from PBE-GGA.

abc: 8.587 4.158 10.032
angles: 90.00 105.33 90.00
Fractional coordinates of all 12 atoms:
Pr: 0.058 0.250 0.342
Pr: 0.207 0.250 0.006
Pr: 0.402 0.750 0.603
Pr: 0.598 0.250 0.397
Pr: 0.793 0.750 0.994
Pr: 0.942 0.750 0.658
Pt: 0.175 0.250 0.644
Pt: 0.825 0.750 0.356
Se: 0.305 0.750 0.265
Se: 0.695 0.250 0.735
Br: 0.388 0.750 0.891
Br: 0.612 0.250 0.109

Output
* magnetic moment: 0.0 μB per cell
* ΔE_f (raw): -1.164 eV/atom
* calculated total energy: -5.421 eV/atom



Here is a relaxed structure of RbLa2OsO8 from Alexandria. Energies are from PBE-GGA.

abc: 4.325 5.453 7.491
angles: 89.97 73.65 89.99
Fractional coordinates of all 12 atoms:
Rb: 0.000 0.000 0.000
La: 0.375 0.500 0.292
La: 0.625 0.500 0.708
Os: 0.000 0.000 0.500
O: 0.170 0.500 0.003
O: 0.189 0.262 0.606
O: 0.190 0.736 0.605
O: 0.343 0.001 0.282
O: 0.657 0.999 0.718
O: 0.810 0.264 0.395
O: 0.811 0.738 0.394
O: 0.830 0.500 0.997

Output
* magnetic moment: 0.2 μB per cell
* ΔE_f (raw): -1.995 eV/atom
* calculated total energy: -7.138 eV/atom



Here is a relaxed structure of Cs6PtF2 from Alexandria. Energies are from PBE-GGA.

abc: 10.329 10.329 11.892
angles: 103.03 103.03 27.46
Fractional coordinates of all 9 atoms:
Cs: 0.055 0.055 0.297
Cs: 0.230 0.230 0.635
Cs: 0.389 0.389 0.024
Cs: 0.611 0.611 0.976
Cs: 0.770 0.770 0.365
Cs: 0.945 0.945 0.703
Pt: 0.000 0.000 0.000
F: 0.197 0.197 0.387
F: 0.803 0.803 0.613

Output
* magnetic moment: 0.0 μB per cell
* ΔE_f (raw): -1.150 eV/atom
* calculated total energy: -2.807 eV/atom



Here is a relaxed structure of CsLaW3 from Alexandria. Energies are from PBE-GGA.

abc: 5.044 5.044 5.044
angles: 90.00 90.00 90.00
Fractional coordinates of all 5 atoms:
Cs: 0.000 0.000 0.000
La: 0.500 0.500 0.500
W: 0.000 0.000 0.500
W: 0.000 0.500 0.000
W: 0.500 0.000 0.000

Output
* polymorph energy (0 for the lowest one): 0.20 eV per formula unit
* magnetic moment: 2.2 μB per cell
* ΔE_f: 310 kJ/mol of atoms
* calculated total energy: -5.712 eV/atom



Here is a relaxed structure of LiAc6Pm from Alexandria. Energies are from PBE-GGA.

abc: 10.999 10.999 10.999
angles: 150.20 150.20 42.64
Fractional coordinates of all 8 atoms:
Li: 0.000 0.000 0.000
Ac: 0.114 0.614 0.500
Ac: 0.250 0.250 0.000
Ac: 0.386 0.886 0.500
Ac: 0.614 0.114 0.500
Ac: 0.750 0.750 0.000
Ac: 0.886 0.386 0.500
Pm: 0.500 0.500 0.000

Output
* magnetic moment: 0.0 μB per cell
* ΔE_f: 8 kJ/mol of atoms
* calculated total energy: -3.836 eV/atom



Here is a relaxed structure of Lu2MgGe from Alexandria. Energies are from PBE-GGA.

abc: 6.530 6.530 6.530
angles: 39.85 39.85 39.85
Fractional coordinates of all 4 atoms:
Lu: 0.235 0.235 0.235
Lu: 0.765 0.765 0.765
Mg: 0.000 0.000 0.000
Ge: 0.500 0.500 0.500

Output
* magnetic moment: 0.0 μB per cell
* ΔE_f: -21 kJ/mol of atoms
* calculated total energy: -4.033 eV/atom



Here is a relaxed structure of TbPuCoIr from Alexandria. Energies are from PBE-GGA.

abc: 4.806 4.806 4.806
angles: 60.00 60.00 60.00
Fractional coordinates of all 4 atoms:
Tb: 0.000 0.000 0.000
Pu: 0.500 0.500 0.500
Co: 0.750 0.750 0.750
Ir: 0.250 0.250 0.250

Output
* magnetic moment: 4.4 μB per cell
* ΔE_f: -31 kJ/mol of atoms
* calculated total energy: -9.054 eV/atom



Here is a relaxed structure of Rb2CdRhCl6 from Alexandria. Energies are from PBE-GGA.

abc: 7.231 10.242 7.233
angles: 90.00 90.00 90.00
Fractional coordinates of all 20 atoms:
Rb: 0.250 0.000 0.249
Rb: 0.250 0.500 0.249
Rb: 0.750 0.000 0.751
Rb: 0.750 0.500 0.751
Cd: 0.250 0.250 0.749
Cd: 0.750 0.750 0.251
Rh: 0.250 0.750 0.751
Rh: 0.750 0.250 0.249
Cl: 0.012 0.750 0.513
Cl: 0.012 0.750 0.989
Cl: 0.250 0.512 0.750
Cl: 0.250 0.988 0.750
Cl: 0.488 0.750 0.513
Cl: 0.488 0.750 0.989
Cl: 0.512 0.250 0.011
Cl: 0.512 0.250 0.487
Cl: 0.750 0.012 0.250
Cl: 0.750 0.488 0.250
Cl: 0.988 0.250 0.011
Cl: 0.988 0.250 0.487

Output
* magnetic moment: 0.0 μB per cell
* ΔE_f (raw): -1.206 eV/atom
* calculated total energy: -3.334 eV/atom



Here is a relaxed structure of Ba2PuCu3H12 from Alexandria. Energies are from PBE-GGA.

abc: 6.316 6.316 6.316
angles: 64.79 64.79 64.79
Fractional coordinates of all 18 atoms:
Ba: 0.112 0.112 0.112
Ba: 0.888 0.888 0.888
Pu: 0.500 0.500 0.500
Cu: 0.000 0.500 0.500
Cu: 0.500 0.000 0.500
Cu: 0.500 0.500 0.000
H: 0.094 0.623 0.623
H: 0.246 0.246 0.599
H: 0.246 0.599 0.246
H: 0.377 0.377 0.906
H: 0.377 0.906 0.377
H: 0.401 0.754 0.754
H: 0.599 0.246 0.246
H: 0.623 0.094 0.623
H: 0.623 0.623 0.094
H: 0.754 0.401 0.754
H: 0.754 0.754 0.401
H: 0.906 0.377 0.377

Output
* magnetic moment: 5.2 μB per cell
* calculated total energy: -4.093 eV/atom



Here is a relaxed structure of SrEu2Cd from Alexandria. Energies are from PBE-GGA.

abc: 5.241 5.241 5.514
angles: 90.00 90.00 90.00
Fractional coordinates of all 4 atoms:
Sr: 0.000 0.000 0.000
Eu: 0.000 0.500 0.500
Eu: 0.500 0.000 0.500
Cd: 0.500 0.500 0.000

Output
* polymorph energy (0 for the lowest one): 0.39 eV per formula unit
* magnetic moment: 15.7 μB per cell
* ΔE_f: -6 kJ/mol of atoms
* calculated total energy: -5.853 eV/atom



Here is a relaxed structure of TbNpPa2P4 from Alexandria. Energies are from PBE-GGA.

abc: 6.873 3.984 6.901
angles: 90.00 109.54 90.00
Fractional coordinates of all 8 atoms:
Tb: 0.000 0.000 0.000
Np: 0.000 0.500 0.500
Pa: 0.500 0.000 0.500
Pa: 0.500 0.500 0.000
P: 0.251 0.000 0.749
P: 0.253 0.500 0.253
P: 0.747 0.500 0.747
P: 0.749 0.000 0.251

Output
* magnetic moment: 4.3 μB per cell
* ΔE_f: -124 kJ/mol of atoms
* calculated total energy: -8.556 eV/atom



Here is a relaxed structure of PaBCl from Alexandria. Energies are from PBE-GGA.

abc: 7.409 7.409 3.159
angles: 90.00 90.00 136.47
Fractional coordinates of all 6 atoms:
Pa: 0.167 0.833 0.750
Pa: 0.833 0.167 0.250
B: 0.022 0.978 0.250
B: 0.978 0.022 0.750
Cl: 0.346 0.654 0.250
Cl: 0.654 0.346 0.750

Output
* polymorph energy (0 for the lowest one): 1.34 eV per formula unit
* magnetic moment: 0.0 μB per cell
* ΔE_f (raw): -0.632 eV/atom
* calculated total energy: -6.638 eV/atom